# GGA+U ScCrOF2, relaxed
data_ScCrOF2
_space_group_name_H-M_alt 'P 4/m m m'
_space_group_IT_number 123
_space_group_name_Hall '-P 4 2'
_cell_length_a 4.146
_cell_length_b 4.146
_cell_length_c 4.056
_cell_angle_alpha 90.00
_cell_angle_beta 90.00
_cell_angle_gamma 90.00
loop_
_atom_site_label
_atom_site_type_symbol
_atom_site_fract_x
_atom_site_fract_y
_atom_site_fract_z
Sc1 Sc 0.000 0.000 0.000
Cr1 Cr 0.500 0.500 0.500
O1 O 0.000 0.000 0.500
F1 F 0.000 0.500 0.000
# Total moment, Bohr magnetons per cell: 5.0
# E, eV/atom: -7.080
# ρ, g cm⁻³: 3.59
# Energy above the lowest structure with this stoichiometry, kJ/mol of formula units: 0.0